An optimized crystal structure of Nb6Ni6O. Source: Alexandria, functional PBE+U.

Properties
Density, g/cm³: 8.6
Symmetry: Fd-3m
Electronic total energy, eV per atom: -6.03

Unit cell a=7.9680 b=7.9680 c=7.9680 alpha=60.00 beta=60.00 gamma=60.00
Closest atoms and distances in Å follow each position.
Fractional positions:
1 Nb 0.0724 0.0724 0.6776  1 O 2.22
2 Nb 0.0724 0.6776 0.0724  1 O 2.22
3 Nb 0.0724 0.6776 0.6776  1 O 2.22
4 Nb 0.3224 0.3224 0.9276  1 O 2.22
5 Nb 0.3224 0.9276 0.3224  1 O 2.22
6 Nb 0.3224 0.9276 0.9276  1 O 2.22
7 Nb 0.6776 0.0724 0.0724  1 O 2.22
8 Nb 0.6776 0.0724 0.6776  1 O 2.22
9 Nb 0.6776 0.6776 0.0724  1 O 2.22
10 Nb 0.9276 0.3224 0.3224  1 O 2.22
11 Nb 0.9276 0.3224 0.9276  1 O 2.22
12 Nb 0.9276 0.9276 0.3224  1 O 2.22
13 Ni 0.0000 0.5000 0.5000  6 Ni 2.42
14 Ni 0.2950 0.2950 0.2950  6 Ni 2.42-2.55
15 Ni 0.2950 0.2950 0.6149  6 Ni 2.42-2.55
16 Ni 0.2950 0.6149 0.2950  6 Ni 2.42-2.55
17 Ni 0.3851 0.7050 0.7050  6 Ni 2.42-2.55
18 Ni 0.5000 0.0000 0.5000  6 Ni 2.42
19 Ni 0.5000 0.5000 0.0000  6 Ni 2.42
20 Ni 0.5000 0.5000 0.5000  6 Ni 2.42
21 Ni 0.6149 0.2950 0.2950  6 Ni 2.42-2.55
22 Ni 0.7050 0.3851 0.7050  6 Ni 2.42-2.55
23 Ni 0.7050 0.7050 0.3851  6 Ni 2.42-2.55
24 Ni 0.7050 0.7050 0.7050  6 Ni 2.42-2.55
25 O 0.1250 0.1250 0.1250  6 Nb 2.22
26 O 0.8750 0.8750 0.8750  6 Nb 2.22